# K2MgFePd, optimized geometry, DFT GGA-PBE
# Energy relative to the elements (meV/atom): 918.3
# Total moment (μB/f.u.): 3.32
# Density of states at the Fermi level (states/eV/cell): 12.02
data_K2MgFePd
_space_group_name_H-M_alt 'P 4/m m m'
_space_group_IT_number 123
_space_group_name_Hall '-P 4 2'
_cell_length_a 6.543
_cell_length_b 6.543
_cell_length_c 4.795
_cell_angle_alpha 90.00
_cell_angle_beta 90.00
_cell_angle_gamma 90.00
loop_
_atom_site_label
_atom_site_type_symbol
_atom_site_fract_x
_atom_site_fract_y
_atom_site_fract_z
K1 K 0.000 0.500 0.000
Mg1 Mg 0.000 0.000 0.000
Fe1 Fe 0.500 0.500 0.500
Pd1 Pd 0.000 0.000 0.500